Compound: Cs2CoP4O12
Source: Alexandria
Functional: PBE with a Hubbard U
Structure: relaxed

Calculated values
Crystal system   monoclinic
Calculated volume   17.19 Å³/atom
Total energy   -514.1 eV/cell
Magnetization   3.00 μB/f.u.

abc: 8.6218 12.4498 13.0495
angles: 90.00 111.12 90.00
Fractional coordinates of all 76 atoms:
Cs 0.0766 0.1071 0.3232
Cs 0.0766 0.3929 0.8232
Cs 0.2505 0.0614 0.0221
Cs 0.2505 0.4386 0.5221
Cs 0.7495 0.5614 0.4779
Cs 0.7495 0.9386 0.9779
Cs 0.9234 0.6071 0.1768
Cs 0.9234 0.8929 0.6768
Co 0.4613 0.7307 0.1880
Co 0.4613 0.7693 0.6880
Co 0.5387 0.2307 0.3120
Co 0.5387 0.2693 0.8120
P 0.1250 0.7345 0.9743
P 0.1250 0.7655 0.4743
P 0.1788 0.1467 0.6912
P 0.1788 0.3533 0.1912
P 0.4249 0.7244 0.9266
P 0.4249 0.7756 0.4266
P 0.4775 0.0443 0.6867
P 0.4775 0.4557 0.1867
P 0.5225 0.5443 0.8133
P 0.5225 0.9557 0.3133
P 0.5751 0.2244 0.5734
P 0.5751 0.2756 0.0734
P 0.8212 0.6467 0.8088
P 0.8212 0.8533 0.3088
P 0.8750 0.2345 0.5257
P 0.8750 0.2655 0.0257
O 0.0329 0.1528 0.5687
O 0.0329 0.3472 0.0687
O 0.0727 0.6538 0.4339
O 0.0727 0.8462 0.9339
O 0.1059 0.1112 0.7733
O 0.1059 0.3888 0.2733
O 0.2055 0.7112 0.0952
O 0.2055 0.7888 0.5952
O 0.2393 0.6828 0.9100
O 0.2393 0.8172 0.4100
O 0.2798 0.0469 0.6629
O 0.2798 0.4531 0.1629
O 0.2819 0.2478 0.7099
O 0.2819 0.2522 0.2099
O 0.4189 0.7008 0.3349
O 0.4189 0.7992 0.8349
O 0.4286 0.6028 0.7079
O 0.4286 0.8972 0.2079
O 0.4752 0.0691 0.3250
O 0.4752 0.4309 0.8250
O 0.4868 0.1116 0.5821
O 0.4868 0.3884 0.0821
O 0.4908 0.2339 0.9581
O 0.4908 0.2661 0.4581
O 0.5092 0.7339 0.5419
O 0.5092 0.7661 0.0419
O 0.5132 0.6116 0.9179
O 0.5132 0.8884 0.4179
O 0.5248 0.5691 0.1750
O 0.5248 0.9309 0.6750
O 0.5714 0.1028 0.7921
O 0.5714 0.3972 0.2921
O 0.5811 0.2008 0.1651
O 0.5811 0.2992 0.6651
O 0.7181 0.7478 0.7901
O 0.7181 0.7522 0.2901
O 0.7202 0.5469 0.8371
O 0.7202 0.9531 0.3371
O 0.7607 0.1828 0.5900
O 0.7607 0.3172 0.0900
O 0.7945 0.2112 0.4048
O 0.7945 0.2888 0.9048
O 0.8941 0.6112 0.7267
O 0.8941 0.8888 0.2267
O 0.9273 0.1538 0.0661
O 0.9273 0.3462 0.5661
O 0.9671 0.6528 0.9313
O 0.9671 0.8472 0.4313